Entry 1:
# PBE-GGA K2SrNi, optimized geometry
# Spin magnetization, μB per cell: 0.00
# Volume, Å³ per atom: 45.33
data_K2SrNi
_chemical_formula_sum 'K4 Sr2 Ni2'
_cell_length_a 4.037
_cell_length_b 6.317
_cell_length_c 14.221
_cell_angle_alpha 90.00
_cell_angle_beta 90.00
_cell_angle_gamma 90.00
_space_group_name_H-M_alt 'I m m 2'
_space_group_IT_number 44
_space_group_name_Hall 'I 2 -2'
loop_
_atom_site_label
_atom_site_type_symbol
_atom_site_fract_x
_atom_site_fract_y
_atom_site_fract_z
_atom_site_occupancy
K1 K 0.000 0.000 0.000 1
K2 K 0.000 0.500 0.162 1
Sr1 Sr 0.000 0.000 0.327 1
Ni1 Ni 0.000 0.500 0.687 1

***

Entry 2:
# PBE-GGA KSr2Ni, optimized geometry
# Spin magnetization, μB per cell: 0.00
# Volume, Å³ per atom: 59.87
data_KSr2Ni
_chemical_formula_sum 'K4 Sr8 Ni4'
_cell_length_a 8.782
_cell_length_b 8.782
_cell_length_c 12.421
_cell_angle_alpha 90.00
_cell_angle_beta 90.00
_cell_angle_gamma 90.00
_space_group_name_H-M_alt 'I -4 2 d'
_space_group_IT_number 122
_space_group_name_Hall 'I -4 2bw'
loop_
_atom_site_label
_atom_site_type_symbol
_atom_site_fract_x
_atom_site_fract_y
_atom_site_fract_z
_atom_site_occupancy
K1 K 0.000 0.000 0.000 1
Sr1 Sr 0.005 0.250 0.625 1
Ni1 Ni 0.000 0.000 0.500 1

***

Entry 3:
# PBE-GGA K2SrNi, optimized geometry
# Spin magnetization, μB per cell: 0.00
# Volume, Å³ per atom: 45.52
data_K2SrNi
_chemical_formula_sum 'K4 Sr2 Ni2'
_cell_length_a 21.257
_cell_length_b 3.955
_cell_length_c 4.428
_cell_angle_alpha 90.00
_cell_angle_beta 101.97
_cell_angle_gamma 90.00
_space_group_name_H-M_alt 'C 1 2/m 1'
_space_group_IT_number 12
_space_group_name_Hall '-C 2y'
loop_
_atom_site_label
_atom_site_type_symbol
_atom_site_fract_x
_atom_site_fract_y
_atom_site_fract_z
_atom_site_occupancy
K1 K 0.158 0.000 0.158 1
Sr1 Sr 0.000 0.000 0.500 1
Ni1 Ni 0.000 0.500 0.000 1

***

Entry 4:
# PBE-GGA K2SrNi, optimized geometry
# Spin magnetization, μB per cell: 0.00
# Volume, Å³ per atom: 38.53
data_K2SrNi
_chemical_formula_sum 'K8 Sr4 Ni4'
_cell_length_a 8.511
_cell_length_b 8.511
_cell_length_c 8.511
_cell_angle_alpha 90.00
_cell_angle_beta 90.00
_cell_angle_gamma 90.00
_space_group_name_H-M_alt 'F m -3 m'
_space_group_IT_number 225
_space_group_name_Hall '-F 4 2 3'
loop_
_atom_site_label
_atom_site_type_symbol
_atom_site_fract_x
_atom_site_fract_y
_atom_site_fract_z
_atom_site_occupancy
K1 K 0.250 0.250 0.250 1
Sr1 Sr 0.000 0.000 0.000 1
Ni1 Ni 0.000 0.000 0.500 1

***

Entry 5:
# PBE-GGA K2SrNi, optimized geometry
# Spin magnetization, μB per cell: 0.00
# Volume, Å³ per atom: 43.68
data_K2SrNi
_chemical_formula_sum 'K4 Sr2 Ni2'
_cell_length_a 5.547
_cell_length_b 5.555
_cell_length_c 11.338
_cell_angle_alpha 90.00
_cell_angle_beta 90.00
_cell_angle_gamma 90.00
_space_group_name_H-M_alt 'C m m 2'
_space_group_IT_number 35
_space_group_name_Hall 'C 2 -2'
loop_
_atom_site_label
_atom_site_type_symbol
_atom_site_fract_x
_atom_site_fract_y
_atom_site_fract_z
_atom_site_occupancy
K1 K 0.000 0.000 0.000 1
K2 K 0.000 0.500 0.358 1
Sr1 Sr 0.000 0.500 0.675 1
Ni1 Ni 0.000 0.000 0.561 1

***

Entry 6:
# PBE-GGA KSr2Ni, optimized geometry
# Spin magnetization, μB per cell: 0.00
# Volume, Å³ per atom: 44.67
data_KSr2Ni
_chemical_formula_sum 'K2 Sr4 Ni2'
_cell_length_a 3.934
_cell_length_b 4.153
_cell_length_c 21.873
_cell_angle_alpha 90.00
_cell_angle_beta 90.00
_cell_angle_gamma 90.00
_space_group_name_H-M_alt 'I m m 2'
_space_group_IT_number 44
_space_group_name_Hall 'I 2 -2'
loop_
_atom_site_label
_atom_site_type_symbol
_atom_site_fract_x
_atom_site_fract_y
_atom_site_fract_z
_atom_site_occupancy
K1 K 0.000 0.000 0.000 1
Sr1 Sr 0.000 0.000 0.332 1
Sr2 Sr 0.000 0.500 0.180 1
Ni1 Ni 0.000 0.500 0.732 1

***

Entry 7:
# PBE-GGA K2SrNi, optimized geometry
# Spin magnetization, μB per cell: 0.55
# Volume, Å³ per atom: 44.49
data_K2SrNi
_chemical_formula_sum 'K2 Sr1 Ni1'
_cell_length_a 4.027
_cell_length_b 4.027
_cell_length_c 10.975
_cell_angle_alpha 90.00
_cell_angle_beta 90.00
_cell_angle_gamma 90.00
_space_group_name_H-M_alt 'P 4/m m m'
_space_group_IT_number 123
_space_group_name_Hall '-P 4 2'
loop_
_atom_site_label
_atom_site_type_symbol
_atom_site_fract_x
_atom_site_fract_y
_atom_site_fract_z
_atom_site_occupancy
K1 K 0.000 0.000 0.168 1
Sr1 Sr 0.500 0.500 0.500 1
Ni1 Ni 0.500 0.500 0.000 1

***

Entry 8:
# PBE-GGA K2SrNi, optimized geometry
# Spin magnetization, μB per cell: 2.21
# Volume, Å³ per atom: 49.22
data_K2SrNi
_chemical_formula_sum 'K6 Sr3 Ni3'
_cell_length_a 4.3385
_cell_length_b 4.3385
_cell_length_c 36.2319
_cell_angle_alpha 90.00
_cell_angle_beta 90.00
_cell_angle_gamma 120.00
_space_group_name_H-M_alt 'R -3 m'
_space_group_IT_number 166
_space_group_name_Hall '-R 3 2"'
loop_
_atom_site_label
_atom_site_type_symbol
_atom_site_fract_x
_atom_site_fract_y
_atom_site_fract_z
_atom_site_occupancy
K1 K 0.0000 0.0000 0.2227 1
Sr1 Sr 0.0000 0.0000 0.0000 1
Ni1 Ni 0.0000 0.0000 0.5000 1

***

Entry 9:
# PBE-GGA K2Sr4Ni, optimized geometry
# Spin magnetization, μB per cell: 0.00
# Volume, Å³ per atom: 55.60
data_K2Sr4Ni
_chemical_formula_sum 'K4 Sr8 Ni2'
_cell_length_a 5.996
_cell_length_b 5.996
_cell_length_c 21.653
_cell_angle_alpha 90.00
_cell_angle_beta 90.00
_cell_angle_gamma 90.00
_space_group_name_H-M_alt 'I 4/m m m'
_space_group_IT_number 139
_space_group_name_Hall '-I 4 2'
loop_
_atom_site_label
_atom_site_type_symbol
_atom_site_fract_x
_atom_site_fract_y
_atom_site_fract_z
_atom_site_occupancy
K1 K 0.000 0.000 0.166 1
Sr1 Sr 0.000 0.000 0.367 1
Sr2 Sr 0.000 0.500 0.000 1
Ni1 Ni 0.000 0.000 0.500 1

***

Entry 10:
# PBE-GGA KSr2Ni, optimized geometry
# Spin magnetization, μB per cell: 0.25
# Volume, Å³ per atom: 44.69
data_KSr2Ni
_chemical_formula_sum 'K1 Sr2 Ni1'
_cell_length_a 4.217
_cell_length_b 4.217
_cell_length_c 10.053
_cell_angle_alpha 90.00
_cell_angle_beta 90.00
_cell_angle_gamma 90.00
_space_group_name_H-M_alt 'P 4 m m'
_space_group_IT_number 99
_space_group_name_Hall 'P 4 -2'
loop_
_atom_site_label
_atom_site_type_symbol
_atom_site_fract_x
_atom_site_fract_y
_atom_site_fract_z
_atom_site_occupancy
K1 K 0.000 0.000 0.000 1
Sr1 Sr 0.000 0.000 0.376 1
Sr2 Sr 0.500 0.500 0.648 1
Ni1 Ni 0.500 0.500 0.353 1

***

Entry 11:
# PBE-GGA KSr2Ni, optimized geometry
# Spin magnetization, μB per cell: 0.00
# Volume, Å³ per atom: 44.82
data_KSr2Ni
_chemical_formula_sum 'K2 Sr4 Ni2'
_cell_length_a 7.569
_cell_length_b 4.342
_cell_length_c 11.137
_cell_angle_alpha 90.00
_cell_angle_beta 101.59
_cell_angle_gamma 90.00
_space_group_name_H-M_alt 'C 1 2/m 1'
_space_group_IT_number 12
_space_group_name_Hall '-C 2y'
loop_
_atom_site_label
_atom_site_type_symbol
_atom_site_fract_x
_atom_site_fract_y
_atom_site_fract_z
_atom_site_occupancy
K1 K 0.000 0.000 0.000 1
Sr1 Sr 0.210 0.000 0.645 1
Ni1 Ni 0.000 0.500 0.500 1

***

Entry 12:
# PBE-GGA K2SrNi, optimized geometry
# Spin magnetization, μB per cell: 0.06
# Volume, Å³ per atom: 37.47
data_K2SrNi
_chemical_formula_sum 'K2 Sr1 Ni1'
_cell_length_a 4.878
_cell_length_b 4.878
_cell_length_c 6.298
_cell_angle_alpha 90.00
_cell_angle_beta 90.00
_cell_angle_gamma 90.00
_space_group_name_H-M_alt 'P 4/m m m'
_space_group_IT_number 123
_space_group_name_Hall '-P 4 2'
loop_
_atom_site_label
_atom_site_type_symbol
_atom_site_fract_x
_atom_site_fract_y
_atom_site_fract_z
_atom_site_occupancy
K1 K 0.000 0.500 0.000 1
Sr1 Sr 0.000 0.000 0.500 1
Ni1 Ni 0.500 0.500 0.500 1

***

Entry 13:
# PBE-GGA KSr2Ni, optimized geometry
# Spin magnetization, μB per cell: 0.00
# Volume, Å³ per atom: 37.17
data_KSr2Ni
_chemical_formula_sum 'K2 Sr4 Ni2'
_cell_length_a 5.036
_cell_length_b 5.036
_cell_length_c 11.722
_cell_angle_alpha 90.00
_cell_angle_beta 90.00
_cell_angle_gamma 90.00
_space_group_name_H-M_alt 'I -4 m 2'
_space_group_IT_number 119
_space_group_name_Hall 'I -4 -2'
loop_
_atom_site_label
_atom_site_type_symbol
_atom_site_fract_x
_atom_site_fract_y
_atom_site_fract_z
_atom_site_occupancy
K1 K 0.000 0.000 0.000 1
Sr1 Sr 0.000 0.000 0.500 1
Sr2 Sr 0.000 0.500 0.250 1
Ni1 Ni 0.000 0.500 0.750 1

***

Entry 14:
# PBE-GGA KSr2Ni, optimized geometry
# Spin magnetization, μB per cell: 0.00
# Volume, Å³ per atom: 43.61
data_KSr2Ni
_chemical_formula_sum 'K1 Sr2 Ni1'
_cell_length_a 4.438
_cell_length_b 4.115
_cell_length_c 9.797
_cell_angle_alpha 90.00
_cell_angle_beta 102.89
_cell_angle_gamma 90.00
_space_group_name_H-M_alt 'P 1 m 1'
_space_group_IT_number 6
_space_group_name_Hall 'P -2y'
loop_
_atom_site_label
_atom_site_type_symbol
_atom_site_fract_x
_atom_site_fract_y
_atom_site_fract_z
_atom_site_occupancy
K1 K 0.000 0.000 0.000 1
Sr1 Sr 0.325 0.000 0.653 1
Sr2 Sr 0.686 0.500 0.367 1
Ni1 Ni 0.834 0.500 0.672 1

***

Number 1: ΔH_f (0 K) 1.55 eV/f.u.. Number 2: ΔH_f (0 K) 1.46 eV/f.u.. Number 3: ΔH_f (0 K) 1.16 eV/f.u.. Number 4: ΔH_f (0 K) 2.73 eV/f.u.. Number 5: ΔH_f (0 K) 1.08 eV/f.u.. Number 6: ΔH_f (0 K) 0.72 eV/f.u.. Number 7: ΔH_f (0 K) 2.35 eV/f.u.. Number 8: ΔH_f (0 K) 2.48 eV/f.u.. Number 9: ΔH_f (0 K) 0.70 eV/f.u.. Number 10: ΔH_f (0 K) 0.95 eV/f.u.. Number 11: ΔH_f (0 K) 0.26 eV/f.u.. Number 12: ΔH_f (0 K) 2.01 eV/f.u.. Number 13: ΔH_f (0 K) 2.01 eV/f.u.. Number 14: ΔH_f (0 K) 0.76 eV/f.u..